Record 1
Ac4PdPb2 PBE-GGA optimized geometry; space group = I4/mmm (139); polymorph energy (0 for the lowest one) = 121 meV/atom; DOS(E_F) = 6.44 states/eV/cell; density = 8.4 Mg/m³; formation energy = -0.412 eV/atom; VASP energy = -4.56 eV/atom
1.0
-2.788 2.788 9.057
2.788 -2.788 9.057
2.788 2.788 -9.057
Ac Pd Pb
4 1 2
Direct
0.000 0.500 0.500
0.180 0.180 0.000
0.500 0.000 0.500
0.820 0.820 0.000
0.000 0.000 0.000
0.366 0.366 0.000
0.634 0.634 0.000

---

Record 2
Ta2TePt PBE-GGA optimized geometry; space group = Imm2 (44); DOS(E_F) = 2.27 states/eV/cell; density = 15.5 Mg/m³; energy relative to the elements, uncorrected = -9 meV/atom; VASP energy = -8.23 eV/atom
1.0
-1.666 2.380 4.637
1.666 -2.380 4.637
1.666 2.380 -4.637
Ta Te Pt
2 1 1
Direct
0.000 0.000 0.000
0.726 0.226 0.500
0.242 0.742 0.500
0.479 0.479 0.000

---

Record 3
Rb2TeS PBE-GGA optimized geometry; space group = Fm-3m (225); polymorph energy (0 for the lowest one) = 423 meV/atom; DOS(E_F) = 2.74 states/eV/cell; density = 3.6 Mg/m³; energy relative to the elements, uncorrected = -451 meV/atom; VASP energy = -2.75 eV/atom
1.0
0.000 4.239 4.239
4.239 0.000 4.239
4.239 4.239 0.000
Rb Te S
2 1 1
Direct
0.250 0.250 0.250
0.750 0.750 0.750
0.000 0.000 0.000
0.500 0.500 0.500

---

Record 4
ZrTaOs PBE-GGA optimized geometry; space group = I4mm (107); polymorph energy (0 for the lowest one) = 82 meV/atom; DOS(E_F) = 1.74 states/eV/cell; density = 14.2 Mg/m³; formation energy = -0.324 eV/atom; VASP energy = -10.87 eV/atom
1.0
-1.614 1.614 5.192
1.614 -1.614 5.192
1.614 1.614 -5.192
Zr Ta Os
1 1 1
Direct
0.000 0.000 0.000
0.685 0.685 0.000
0.332 0.332 0.000